# 1
! Pm2Ho2ZnGa4, relaxed, DFT PBE-GGA; values from VASP
&SYSTEM
  ibrav = 0, nat = 9, ntyp = 4
/
ATOMIC_SPECIES
Pm 145.00 Pm.upf
Ho 164.93 Ho.upf
Zn 65.41 Zn.upf
Ga 69.72 Ga.upf
CELL_PARAMETERS angstrom
-3.4928 3.4928 4.3896
3.4928 -3.4928 4.3896
3.4928 3.4928 -4.3896
ATOMIC_POSITIONS crystal
Pm 0.2500 0.7500 0.5000
Pm 0.7500 0.2500 0.5000
Ho 0.1858 0.1858 0.0000
Ho 0.8142 0.8142 0.0000
Zn 0.5000 0.5000 0.0000
Ga 0.2540 0.2540 0.5080
Ga 0.2540 0.7460 0.0000
Ga 0.7460 0.2540 0.0000
Ga 0.7460 0.7460 0.4920
! M_tot in μB per atom: 0.075
! Formation enthalpy at 0 K in eV per atom: -0.325
! Theoretical density in kg/m3: 7474

***

# 2
! Cs2CaTa, relaxed, DFT PBE-GGA; values from VASP
&SYSTEM
  ibrav = 0, nat = 4, ntyp = 3
/
ATOMIC_SPECIES
Cs 132.91 Cs.upf
Ca 40.08 Ca.upf
Ta 180.95 Ta.upf
CELL_PARAMETERS angstrom
0.0000 4.6411 4.6411
4.6411 0.0000 4.6411
4.6411 4.6411 0.0000
ATOMIC_POSITIONS crystal
Cs 0.2500 0.2500 0.2500
Cs 0.7500 0.7500 0.7500
Ca 0.0000 0.0000 0.0000
Ta 0.5000 0.5000 0.5000
! M_tot in μB per atom: 1.224
! Formation enthalpy at 0 K in eV per atom: 1.560
! Theoretical density in kg/m3: 4043

***

# 3
! ErInGa2, relaxed, DFT PBE-GGA; values from VASP
&SYSTEM
  ibrav = 0, nat = 4, ntyp = 3
/
ATOMIC_SPECIES
Er 167.26 Er.upf
In 114.82 In.upf
Ga 69.72 Ga.upf
CELL_PARAMETERS angstrom
2.2576 1.3034 5.0740
-2.2576 1.3034 5.0740
0.0000 -2.6068 5.0740
ATOMIC_POSITIONS crystal
Er 0.0000 0.0000 0.0000
In 0.5000 0.5000 0.5000
Ga 0.2399 0.2399 0.2399
Ga 0.7601 0.7601 0.7601
! M_tot in μB per atom: 0.000
! Formation enthalpy at 0 K in eV per atom: -0.268
! Theoretical density in kg/m3: 7813

***

# 4
! MnV2GaC, relaxed, DFT PBE-GGA; values from VASP
&SYSTEM
  ibrav = 0, nat = 5, ntyp = 4
/
ATOMIC_SPECIES
Mn 54.94 Mn.upf
V 50.94 V.upf
Ga 69.72 Ga.upf
C 12.01 C.upf
CELL_PARAMETERS angstrom
3.9792 0.0000 0.0000
0.0000 3.9792 0.0000
0.0000 0.0000 3.7859
ATOMIC_POSITIONS crystal
Mn 0.0000 0.0000 0.0000
V 0.0000 0.5000 0.5000
V 0.5000 0.0000 0.5000
Ga 0.5000 0.5000 0.0000
C 0.0000 0.0000 0.5000
! M_tot in μB per atom: 0.000
! Formation enthalpy at 0 K in eV per atom: -0.185
! Theoretical density in kg/m3: 6608

***

# 5
! Nd3HoHg2, relaxed, DFT PBE-GGA; values from VASP
&SYSTEM
  ibrav = 0, nat = 12, ntyp = 3
/
ATOMIC_SPECIES
Nd 144.24 Nd.upf
Ho 164.93 Ho.upf
Hg 200.59 Hg.upf
CELL_PARAMETERS angstrom
-3.6446 7.4516 3.8090
3.6446 -7.4516 3.8090
3.6446 7.4516 -3.8090
ATOMIC_POSITIONS crystal
Nd 0.0228 0.7500 0.2728
Nd 0.2500 0.2500 0.0000
Nd 0.4772 0.7500 0.7272
Nd 0.5228 0.2500 0.2728
Nd 0.7500 0.7500 0.0000
Nd 0.9772 0.2500 0.7272
Ho 0.0000 0.5000 0.5000
Ho 0.5000 0.0000 0.5000
Hg 0.1369 0.2035 0.3404
Hg 0.3631 0.7035 0.0665
Hg 0.6369 0.2965 0.9335
Hg 0.8631 0.7965 0.6596
! M_tot in μB per atom: 0.000
! Formation enthalpy at 0 K in eV per atom: -0.073
! Theoretical density in kg/m3: 8017

***

# 6
! LiAc2Cu3Pt4, relaxed, DFT PBE-GGA; values from VASP
&SYSTEM
  ibrav = 0, nat = 10, ntyp = 4
/
ATOMIC_SPECIES
Li 6.94 Li.upf
Ac 227.00 Ac.upf
Cu 63.55 Cu.upf
Pt 195.08 Pt.upf
CELL_PARAMETERS angstrom
4.1879 0.0000 0.0000
0.0000 4.1879 0.0000
0.0000 0.0000 11.1069
ATOMIC_POSITIONS crystal
Li 0.0000 0.0000 0.0000
Ac 0.0000 0.5000 0.7409
Ac 0.5000 0.0000 0.2591
Cu 0.0000 0.5000 0.3647
Cu 0.5000 0.0000 0.6353
Cu 0.5000 0.5000 0.0000
Pt 0.0000 0.0000 0.5000
Pt 0.0000 0.5000 0.1397
Pt 0.5000 0.0000 0.8603
Pt 0.5000 0.5000 0.5000
! M_tot in μB per atom: 0.000
! Formation enthalpy at 0 K in eV per atom: -0.628
! Theoretical density in kg/m3: 12206

***

# 7
! KIrSe2, relaxed, DFT PBE-GGA; values from VASP
&SYSTEM
  ibrav = 0, nat = 8, ntyp = 3
/
ATOMIC_SPECIES
K 39.10 K.upf
Ir 192.22 Ir.upf
Se 78.96 Se.upf
CELL_PARAMETERS angstrom
3.8648 0.0000 0.0000
0.0000 5.0146 0.0000
0.0000 0.0000 9.9996
ATOMIC_POSITIONS crystal
K 0.2500 0.2500 0.1323
K 0.7500 0.7500 0.8677
Ir 0.2500 0.7500 0.3858
Ir 0.7500 0.2500 0.6142
Se 0.2500 0.2500 0.4557
Se 0.2500 0.2500 0.7832
Se 0.7500 0.7500 0.2168
Se 0.7500 0.7500 0.5443
! M_tot in μB per atom: 0.000
! Theoretical density in kg/m3: 6670
! ΔE_f (raw) in meV per atom: -571

***

# 8
! Tl3HgGe, relaxed, DFT PBE-GGA; values from VASP
&SYSTEM
  ibrav = 0, nat = 5, ntyp = 3
/
ATOMIC_SPECIES
Tl 204.38 Tl.upf
Hg 200.59 Hg.upf
Ge 72.64 Ge.upf
CELL_PARAMETERS angstrom
5.6925 0.0000 0.0000
0.0000 5.6925 0.0000
0.0000 0.0000 5.6925
ATOMIC_POSITIONS crystal
Tl 0.0000 0.0000 0.5000
Tl 0.0000 0.5000 0.0000
Tl 0.5000 0.0000 0.0000
Hg 0.0000 0.0000 0.0000
Ge 0.5000 0.5000 0.5000
! M_tot in μB per atom: 0.000
! Formation enthalpy at 0 K in eV per atom: 0.591
! Theoretical density in kg/m3: 7979